Below is Ce2Al3Zn4Au after structural relaxation, with properties calculated at the GGA-PBE level.

Results
As for the space group: No. 115.

Structure (extended XYZ):
```
10
Lattice="-0.7002 -2.5676 3.3361 4.1885 -0.0852 0.8135 -1.0618 8.5567 6.3628" Properties=species:S:1:pos:R:3 pbc="T T T"
Zn 1.7123 3.0352 2.6955
Zn 1.7441 -1.3264 2.0748
Zn 0.0000 0.0000 0.0000
Zn -1.0300 4.1950 5.7422
Au 1.2132 2.9519 5.2562
Ce -0.6106 0.8154 3.2290
Ce 1.2929 6.4148 5.2086
Al -0.5309 4.2783 3.1814
Al -1.2722 6.1469 7.1936
Al 1.9545 1.0833 1.2440
```



Below is CaHo2In after structural relaxation, with properties calculated at the GGA-PBE level.

Results
As for the space group: No. 225.

Structure (extended XYZ):
```
4
Lattice="5.4727 0.0000 0.0000 2.7364 4.7395 0.0000 2.7364 1.5798 4.4685" Properties=species:S:1:pos:R:3 pbc="T T T"
Ho 2.7364 1.5798 1.1171
Ho 8.2091 4.7395 3.3514
Ca 0.0000 0.0000 0.0000
In 5.4727 3.1597 2.2342
```



Number 1: total moment 1.08 μB per formula unit, total DFT energy (no corrections) -3.5185 eV/atom. Number 2: total moment 0.00 μB per formula unit, total DFT energy (no corrections) -3.5958 eV/atom.